DFT (PBE) results for Th2CF after structural relaxation.

For the density of states at the Fermi level, the calculation gives 1.532 states/eV/f.u. For the volume, the calculation gives 220.8 Å³ per cell. Its energy relative to the lowest polymorph listed for this composition is 0.000 eV per atom. The energy relative to the elements, uncorrected comes out at -1.421 eV/atom.

abc: 3.7225 3.7225 18.3962
angles: 90.00 90.00 120.00
With the nearest neighbours (Å) after each atom.
Space group R-3m (No. 166, hexagonal axes)
Unique sites:
Th 0.0000 0.0000 0.2433  3 C 2.57, 3 F 2.71
C 0.0000 0.0000 0.5000  6 Th 2.57
F 0.0000 0.0000 0.0000  6 Th 2.71